Entry from Alexandria via LeMat-Bulk: an optimized crystal structure of KBa2Ag2 (PBE).

a = 5.744 Å, b = 5.744 Å, c = 13.226 Å
α = 90.00°, β = 90.00°, γ = 90.00°
Fractional positions:
K: 0.000 0.000 0.000
K: 0.500 0.500 0.500
Ba: 0.000 0.500 0.250
Ba: 0.000 0.500 0.750
Ba: 0.500 0.000 0.250
Ba: 0.500 0.000 0.750
Ag: 0.000 0.000 0.395
Ag: 0.000 0.000 0.605
Ag: 0.500 0.500 0.105
Ag: 0.500 0.500 0.895

Summary:
- total magnetic moment (μB/cell) = 0.00
- DFT formation energy (eV/atom) = -0.034
- D(E_F) (states/eV/f.u.) = 4.794
- total energy (eV for the cell shown) = -21.63